(1)
VASP calculation (PBE) on LiYCdSe3 after structural relaxation.

Geometry as extended XYZ:
```
12
Lattice="-0.404 3.160 2.557 -6.734 1.389 0.481 -0.843 -7.061 8.592" Properties=species:S:1:pos:R:3 pbc="T T T"
Cd -6.852 1.213 3.944
Cd -1.130 -3.724 7.686
Li -3.894 -0.287 3.001
Li -4.088 -2.224 8.628
Se -5.119 2.568 2.543
Se -1.997 1.355 4.536
Se -5.432 -0.050 5.729
Se -2.551 -2.461 5.901
Se -5.985 -3.866 7.093
Se -2.863 -5.079 9.087
Y 0.000 0.000 0.000
Y -0.422 -3.530 4.296
```

Its calculated total energy is -53.6 eV/cell. The total moment comes out at 0.01 μB per cell.

(2)
VASP calculation (PBE) on GdGeSO after structural relaxation.

Geometry as extended XYZ:
```
32
Lattice="-2.524 -2.323 5.503 6.212 -11.783 -2.124 6.010 2.483 3.805" Properties=species:S:1:pos:R:3 pbc="T T T"
Gd 1.702 -2.780 0.916
Gd 4.410 -9.038 0.721
Gd 2.002 -3.296 4.656
Gd 4.710 -9.554 4.462
Gd 4.987 -2.070 2.722
Gd 7.695 -8.328 2.528
Gd 5.288 -2.586 6.463
Gd 7.996 -8.844 6.268
Ge 2.415 -6.343 0.581
Ge 5.680 -12.089 -0.827
Ge 3.951 -6.349 5.104
Ge 7.215 -12.095 3.696
Ge 2.482 0.471 3.488
Ge 5.747 -5.274 2.080
Ge 4.018 0.465 8.011
Ge 7.282 -5.280 6.603
O 0.352 -4.727 4.570
O 3.902 -10.210 2.539
O 2.974 -3.004 2.680
O 6.525 -8.486 0.649
O 3.173 -3.137 6.535
O 6.723 -8.620 4.504
O 5.796 -1.414 4.645
O 9.346 -6.897 2.614
S 0.203 -1.654 3.246
S 2.067 -8.689 4.892
S 2.466 -0.079 1.128
S 4.330 -7.114 2.774
S 5.368 -4.510 4.410
S 7.232 -11.544 6.055
S 7.631 -2.935 2.292
S 9.495 -9.969 3.938
```

Its calculated total energy is -198.4 eV/cell. The total moment comes out at 0.00 μB per cell.

(3)
VASP calculation (PBE) on FeTeS after structural relaxation.

Geometry as extended XYZ:
```
6
Lattice="5.125 0.000 0.000 0.000 3.599 0.000 -0.825 0.000 5.851" Properties=species:S:1:pos:R:3 pbc="T T T"
Fe 0.000 0.000 0.000
Fe 2.150 1.799 2.925
S 1.114 1.799 0.920
S 3.187 1.799 4.931
Te 3.632 0.000 2.019
Te 0.669 0.000 3.831
```

Its calculated total energy is -32.3 eV/cell. The total moment comes out at 0.36 μB per cell.

total moment of number 3 (FeTeS)? 0.36 μB per cell

What is the calculated total energy in the second record? -198.4 eV/cell

Among the records above, which one has the highest total moment? FeTeS

Look up the total moment of the first one. 0.01 μB per cell